No. 1
Computed, not measured: an optimized crystal structure of UBeTcC at the PBE level of DFT.

formation energy	-0.097	eV/atom
DOS(E_F)	1.28	states/eV/atom
magnetization	1.309	μB per formula unit
uncorrected energy	-8.748	eV per atom

abc: 3.570 3.570 8.641
angles: 90.00 90.00 90.00
Space group P4/nmm (No. 129, origin choice 2)
One atom of each set of equivalent atoms:
U 0.250 0.250 0.154 x2
Be 0.250 0.250 0.688 x2
Tc 0.250 0.750 0.500 x2
C 0.250 0.250 0.886 x2

No. 2
Computed, not measured: an optimized crystal structure of Tb2ThCd2In2 at the PBE level of DFT.

formation energy	-0.180	eV/atom
DOS(E_F)	0.80	states/eV/atom
magnetization	0.000	μB per formula unit
uncorrected energy	-3.607	eV per atom

abc: 4.9994 4.9994 26.5721
angles: 90.00 90.00 120.00
Space group R-3m (No. 166, hexagonal axes)
One atom of each set of equivalent atoms:
Tb 0.0000 0.0000 0.1301 x6
Th 0.0000 0.0000 0.0000 x3
Cd 0.0000 0.0000 0.4122 x6
In 0.0000 0.0000 0.2639 x6

No. 3
Computed, not measured: an optimized crystal structure of Ta2CuSi at the PBE level of DFT.

DOS(E_F)	0.81	states/eV/atom
magnetization	0.000	μB per formula unit
uncorrected energy	-8.427	eV per atom
formation energy from raw total energies	-120.8	meV per atom

abc: 5.700 7.511 2.865
angles: 90.00 93.65 90.00
Space group C2/m (No. 12)
One atom of each set of equivalent atoms:
Ta 0.250 0.250 0.000 x4
Cu 0.000 0.000 0.500 x2
Si 0.000 0.500 0.500 x2

No. 4
Computed, not measured: an optimized crystal structure of Ba2AgAsRh at the PBE level of DFT.

formation energy	0.213	eV/atom
DOS(E_F)	0.89	states/eV/atom
magnetization	0.540	μB per formula unit
uncorrected energy	-3.527	eV per atom

abc: 6.057 6.057 4.953
angles: 90.00 90.00 90.00
Space group P4/mmm (No. 123)
One atom of each set of equivalent atoms:
Ba 0.000 0.500 0.000 x2
Ag 0.000 0.000 0.000 x1
As 0.500 0.500 0.500 x1
Rh 0.000 0.000 0.500 x1

No. 5
Computed, not measured: an optimized crystal structure of TaAlRh2 at the PBE level of DFT.

formation energy	-0.510	eV/atom
DOS(E_F)	0.25	states/eV/atom
magnetization	0.000	μB per formula unit
uncorrected energy	-8.085	eV per atom

abc: 2.8864 2.8864 25.3240
angles: 90.00 90.00 120.00
Space group R-3m (No. 166, hexagonal axes)
One atom of each set of equivalent atoms:
Ta 0.0000 0.0000 0.0000 x3
Al 0.0000 0.0000 0.5000 x3
Rh 0.0000 0.0000 0.2459 x6

No. 6
Computed, not measured: an optimized crystal structure of Cd2AgPb at the PBE level of DFT.

formation energy	0.146	eV/atom
DOS(E_F)	0.44	states/eV/atom
magnetization	0.000	μB per formula unit
uncorrected energy	-1.951	eV per atom

abc: 8.283 8.283 6.000
angles: 90.00 90.00 90.00
Space group I-42d (No. 122)
One atom of each set of equivalent atoms:
Cd 0.219 0.250 0.125 x8
Ag 0.000 0.000 0.000 x4
Pb 0.000 0.000 0.500 x4

No. 7
Computed, not measured: an optimized crystal structure of Cd2BiSb at the PBE level of DFT.

DOS(E_F)	0.67	states/eV/atom
magnetization	0.000	μB per formula unit
uncorrected energy	-2.257	eV per atom
formation energy from raw total energies	201.7	meV per atom

abc: 6.955 6.955 11.974
angles: 90.00 90.00 90.00
Space group I-42d (No. 122)
One atom of each set of equivalent atoms:
Cd 0.235 0.250 0.125 x8
Bi 0.000 0.000 0.500 x4
Sb 0.000 0.000 0.000 x4

No. 8
Computed, not measured: an optimized crystal structure of Nd5Ga2Ag at the PBE level of DFT.

formation energy	-0.253	eV/atom
DOS(E_F)	1.20	states/eV/atom
magnetization	0.000	μB per formula unit
uncorrected energy	-4.346	eV per atom

abc: 7.057 7.057 8.742
angles: 90.00 90.00 90.00
Space group I4/mmm (No. 139)
One atom of each set of equivalent atoms:
Nd 0.000 0.000 0.000 x2
Nd 0.250 0.250 0.250 x8
Ga 0.000 0.500 0.000 x4
Ag 0.000 0.000 0.500 x2

No. 9
Computed, not measured: an optimized crystal structure of Tl2CdPSe4 at the PBE level of DFT.

DOS(E_F)	0.22	states/eV/atom
magnetization	0.000	μB per formula unit
uncorrected energy	-3.331	eV per atom
formation energy from raw total energies	-206.4	meV per atom

abc: 8.109 8.453 11.746
angles: 90.00 90.00 90.00
Space group Imma (No. 74)
One atom of each set of equivalent atoms:
Tl 0.000 0.000 0.000 x4
Tl 0.250 0.250 0.250 x4
Cd 0.000 0.000 0.500 x4
P 0.250 0.250 0.750 x4
Se 0.000 0.041 0.743 x8
Se 0.234 0.250 0.522 x8

No. 10
Computed, not measured: an optimized crystal structure of Li4La3Cd2 at the PBE level of DFT.

formation energy	-0.090	eV/atom
DOS(E_F)	0.94	states/eV/atom
magnetization	0.000	μB per formula unit
uncorrected energy	-2.786	eV per atom

abc: 11.615 5.053 8.073
angles: 90.00 103.65 90.00
Space group C2/m (No. 12)
One atom of each set of equivalent atoms:
Li 0.135 0.000 0.096 x4
Li 0.217 0.500 0.555 x4
La 0.000 0.000 0.500 x2
La 0.045 0.500 0.821 x4
Cd 0.249 0.000 0.796 x4

No. 11
Computed, not measured: an optimized crystal structure of Mg2InSb at the PBE level of DFT.

DOS(E_F)	0.25	states/eV/atom
magnetization	0.000	μB per formula unit
uncorrected energy	-2.611	eV per atom
formation energy from raw total energies	-98.7	meV per atom

abc: 3.645 4.561 12.462
angles: 90.00 90.00 90.00
Space group Imm2 (No. 44)
One atom of each set of equivalent atoms:
Mg 0.000 0.000 0.000 x2
Mg 0.000 0.500 0.252 x2
In 0.000 0.000 0.428 x2
Sb 0.000 0.500 0.692 x2

No. 12
Computed, not measured: an optimized crystal structure of BaIn4AgPd2 at the PBE level of DFT.

formation energy	-0.379	eV/atom
DOS(E_F)	0.45	states/eV/atom
magnetization	0.000	μB per formula unit
uncorrected energy	-3.643	eV per atom

abc: 4.6808 4.6808 31.1548
angles: 90.00 90.00 120.00
Space group R-3m (No. 166, hexagonal axes)
One atom of each set of equivalent atoms:
Ba 0.0000 0.0000 0.0000 x3
In 0.0000 0.0000 0.1300 x6
In 0.0000 0.0000 0.4061 x6
Ag 0.0000 0.0000 0.5000 x3
Pd 0.0000 0.0000 0.2255 x6

No. 13
Computed, not measured: an optimized crystal structure of Ho2Mg2Ru at the PBE level of DFT.

formation energy	-0.269	eV/atom
DOS(E_F)	0.56	states/eV/atom
magnetization	0.000	μB per formula unit
uncorrected energy	-4.593	eV per atom

abc: 3.406 3.406 20.410
angles: 90.00 90.00 90.00
Space group I4/mmm (No. 139)
One atom of each set of equivalent atoms:
Ho 0.000 0.000 0.081 x4
Mg 0.000 0.000 0.298 x4
Ru 0.000 0.000 0.500 x2

No. 14
Computed, not measured: an optimized crystal structure of ErBeGa at the PBE level of DFT.

formation energy	-0.421	eV/atom
DOS(E_F)	0.37	states/eV/atom
magnetization	0.000	μB per formula unit
uncorrected energy	-4.193	eV per atom

abc: 4.1414 4.1414 7.2175
angles: 90.00 90.00 120.00
Space group P6_3/mmc (No. 194)
One atom of each set of equivalent atoms:
Er 0.0000 0.0000 0.0000 x2
Be 0.3333 0.6667 0.2500 x2
Ga 0.3333 0.6667 0.7500 x2

No. 15
Computed, not measured: an optimized crystal structure of NiGe2Au at the PBE level of DFT.

formation energy	0.077	eV/atom
DOS(E_F)	0.45	states/eV/atom
magnetization	0.000	μB per formula unit
uncorrected energy	-4.497	eV per atom

abc: 3.8703 3.8703 15.8290
angles: 90.00 90.00 120.00
Space group R-3m (No. 166, hexagonal axes)
One atom of each set of equivalent atoms:
Ni 0.0000 0.0000 0.0000 x3
Ge 0.0000 0.0000 0.2683 x6
Au 0.0000 0.0000 0.5000 x3

No. 16
Computed, not measured: an optimized crystal structure of PmTm2Zn at the PBE level of DFT.

formation energy	-0.056	eV/atom
DOS(E_F)	1.21	states/eV/atom
magnetization	0.000	μB per formula unit
uncorrected energy	-3.798	eV per atom

abc: 3.5696 3.5696 30.6743
angles: 90.00 90.00 120.00
Space group R3m (No. 160, hexagonal axes)
One atom of each set of equivalent atoms:
Pm 0.0000 0.0000 0.0000 x3
Tm 0.0000 0.0000 0.2377 x3
Tm 0.0000 0.0000 0.4299 x3
Zn 0.0000 0.0000 0.8342 x3

No. 17
Computed, not measured: an optimized crystal structure of Nd2TiGa4Au3 at the PBE level of DFT.

formation energy	-0.603	eV/atom
DOS(E_F)	0.60	states/eV/atom
magnetization	0.000	μB per formula unit
uncorrected energy	-4.540	eV per atom

abc: 4.265 4.265 11.370
angles: 90.00 90.00 90.00
Space group P-4m2 (No. 115)
One atom of each set of equivalent atoms:
Nd 0.000 0.500 0.249 x2
Ti 0.500 0.500 0.000 x1
Ga 0.000 0.000 0.500 x1
Ga 0.000 0.500 0.861 x2
Ga 0.500 0.500 0.500 x1
Au 0.000 0.000 0.000 x1
Au 0.000 0.500 0.636 x2

No. 18
Computed, not measured: an optimized crystal structure of Ni2PtI8 at the PBE level of DFT.

DOS(E_F)	0.93	states/eV/atom
magnetization	1.837	μB per formula unit
uncorrected energy	-2.768	eV per atom
formation energy from raw total energies	-40.3	meV per atom

abc: 11.457 10.005 10.637
angles: 90.00 120.56 90.00
Space group C2/m (No. 12)
One atom of each set of equivalent atoms:
Ni 0.102 0.000 0.403 x4
Pt 0.000 0.000 0.000 x2
I 0.058 0.180 0.201 x8
I 0.142 0.500 0.484 x4
I 0.147 0.000 0.663 x4

No. 19
Computed, not measured: an optimized crystal structure of SnI3F at the PBE level of DFT.

DOS(E_F)	3.15	states/eV/atom
magnetization	0.993	μB per formula unit
uncorrected energy	-2.192	eV per atom
formation energy from raw total energies	-86.7	meV per atom

abc: 5.926 5.926 5.926
angles: 90.00 90.00 90.00
Space group Pm-3m (No. 221)
One atom of each set of equivalent atoms:
Sn 0.000 0.000 0.000 x1
I 0.000 0.000 0.500 x3
F 0.500 0.500 0.500 x1

No. 20
Computed, not measured: an optimized crystal structure of LiHPd2Ru at the PBE level of DFT.

DOS(E_F)	1.15	states/eV/atom
magnetization	0.780	μB per formula unit
uncorrected energy	-4.942	eV per atom

abc: 4.027 4.027 3.748
angles: 90.00 90.00 90.00
Space group P4/mmm (No. 123)
One atom of each set of equivalent atoms:
Li 0.000 0.000 0.000 x1
H 0.500 0.500 0.500 x1
Pd 0.000 0.500 0.500 x2
Ru 0.500 0.500 0.000 x1